# YHoErTl PBE relaxed
# E_form	-177	meV/atom
# density of states at the Fermi level	1.20	states/eV/atom
# relative energy among the computed polymorphs	0.0000	eV per atom
# calculated total energy	-4.670	eV per atom
# magnetic moment	0.97	μB per cell
data_YHoErTl
_chemical_formula_sum 'Y1 Ho1 Er1 Tl1'
_space_group_name_H-M_alt 'P m m m'
_space_group_IT_number 47
_space_group_name_Hall '-P 2 2'
_cell_length_a 4.825
_cell_length_b 4.833
_cell_length_c 4.853
_cell_angle_alpha 90.00
_cell_angle_beta 90.00
_cell_angle_gamma 90.00
loop_
_atom_site_label
_atom_site_fract_x
_atom_site_fract_y
_atom_site_fract_z
Y1 0.000 0.000 0.000
Ho1 0.500 0.000 0.500
Er1 0.000 0.500 0.500
Tl1 0.500 0.500 0.000